Record 1
Entry from Alexandria: crystalline ZnTe2H at its relaxed geometry (PBE-GGA).

Results
The spin magnetization is 0.00 μB/f.u. The energy above the most stable polymorph in this dataset is 0 meV/atom. As for the mass density: 5.22 Mg/m³. The calculation puts the energy at -10.402 eV for the cell shown. For the density of states at the Fermi level, the calculation gives 3.7 states/eV/f.u.

Cell: 7.3548 7.3548 7.3548 Å, 32.53 32.53 32.53°
Last column: nearest neighbours and their distance in Å.
Sites, in units of the cell vectors:
Zn (0.0000, 0.0000, 0.0000)  6 Te 2.82
Te (0.4055, 0.4055, 0.4055)  1 H 1.97
Te (0.5945, 0.5945, 0.5945)  1 H 1.97
H (0.5000, 0.5000, 0.5000)  2 Te 1.97

=====

Record 2
Entry from Alexandria: crystalline Rb3Hg8Bi3 at its relaxed geometry (PBE-GGA).

Results
The spin magnetization is 0.00 μB/f.u. The formation energy from the elements is -18.1 kJ/mol of atoms. As for the mass density: 8.94 Mg/m³. The calculation puts the energy at -19.586 eV for the cell shown. For the density of states at the Fermi level, the calculation gives 4.9 states/eV/f.u.

Cell: 10.0658 10.0658 10.0658 Å, 149.90 113.42 74.77°
Last column: nearest neighbours and their distance in Å.
Sites, in units of the cell vectors:
Rb (0.0000, 0.0000, 0.0000)  12 Hg 3.87-4.02, 4 Bi 4.16
Rb (0.3003, 0.3003, 0.0000)  12 Hg 3.67-4.07, 2 Bi 3.93
Rb (0.6997, 0.6997, 0.0000)  12 Hg 3.67-4.07, 2 Bi 3.93
Hg (0.0313, 0.6665, 0.3648)  4 Hg 2.99-3.18, 1 Bi 3.18
Hg (0.1382, 0.8566, 0.2816)  3 Hg 3.10-3.18, 1 Bi 3.33
Hg (0.3017, 0.6665, 0.6352)  4 Hg 2.99-3.18, 1 Bi 3.18
Hg (0.4250, 0.1434, 0.2816)  3 Hg 3.10-3.18, 1 Bi 3.33
Hg (0.5750, 0.8566, 0.7184)  3 Hg 3.10-3.18, 1 Bi 3.33
Hg (0.6983, 0.3335, 0.3648)  4 Hg 2.99-3.18, 1 Bi 3.18
Hg (0.8618, 0.1434, 0.7184)  3 Hg 3.10-3.18, 1 Bi 3.33
Hg (0.9687, 0.3335, 0.6352)  4 Hg 2.99-3.18, 1 Bi 3.18
Bi (0.2930, 0.5000, 0.7930)  6 Hg 3.18-3.48, 2 Bi 3.47
Bi (0.5000, 0.0000, 0.5000)  4 Hg 3.33, 4 Bi 3.47
Bi (0.7070, 0.5000, 0.2070)  6 Hg 3.18-3.48, 2 Bi 3.47

=====

Record 3
Entry from Alexandria: crystalline TiVMo at its relaxed geometry (PBE-GGA).

Results
The spin magnetization is 0.00 μB/f.u. The energy above the most stable polymorph in this dataset is 53 meV/atom. The formation energy from the elements is -2.3 kJ/mol of atoms. As for the mass density: 7.02 Mg/m³. The calculation puts the energy at -27.918 eV for the cell shown. For the density of states at the Fermi level, the calculation gives 4.1 states/eV/f.u.

Cell: 6.8093 6.5928 2.7839 Å, 82.41 73.68 23.91°
Last column: nearest neighbours and their distance in Å.
Sites, in units of the cell vectors:
Ti (0.0000, 0.0000, 0.0000)  2 V 2.70, 2 Mo 2.71, 4 Ti 2.78
V (0.6724, 0.6724, 0.3276)  2 Mo 2.52, 2 Ti 2.70, 4 V 2.78
Mo (0.3272, 0.3272, 0.6728)  2 V 2.52, 2 Ti 2.71, 4 Mo 2.78

=====

Record 4
Entry from Alexandria: crystalline CdAsP4 at its relaxed geometry (PBE-GGA).

Results
The spin magnetization is 0.00 μB/f.u. The formation energy from the elements is 58.3 kJ/mol of atoms. As for the mass density: 4.18 Mg/m³. The calculation puts the energy at -23.581 eV for the cell shown. For the density of states at the Fermi level, the calculation gives 4.2 states/eV/f.u.

Cell: 5.5941 5.5941 5.5941 Å, 60.00 60.00 60.00°
Last column: nearest neighbours and their distance in Å.
Sites, in units of the cell vectors:
Cd (0.0000, 0.0000, 0.0000)  12 P 3.35, 4 As 3.43
As (0.2500, 0.2500, 0.2500)  12 P 3.24, 4 Cd 3.43
P (0.1970, 0.6010, 0.6010)  3 P 2.26
P (0.6010, 0.1970, 0.6010)  3 P 2.26
P (0.6010, 0.6010, 0.1970)  3 P 2.26
P (0.6010, 0.6010, 0.6010)  3 P 2.26

=====

Question: Which value of energy does entry 2 give?
Answer: -19.586 eV for the cell shown

=====

What did the fourth record say?
Entry from Alexandria: crystalline CdAsP4 at its relaxed geometry (PBE-GGA).

Results
The spin magnetization is 0.00 μB/f.u. The formation energy from the elements is 58.3 kJ/mol of atoms. As for the mass density: 4.18 Mg/m³. The calculation puts the energy at -23.581 eV for the cell shown. For the density of states at the Fermi level, the calculation gives 4.2 states/eV/f.u.

Cell: 5.5941 5.5941 5.5941 Å, 60.00 60.00 60.00°
Last column: nearest neighbours and their distance in Å.
Sites, in units of the cell vectors:
Cd (0.0000, 0.0000, 0.0000)  12 P 3.35, 4 As 3.43
As (0.2500, 0.2500, 0.2500)  12 P 3.24, 4 Cd 3.43
P (0.1970, 0.6010, 0.6010)  3 P 2.26
P (0.6010, 0.1970, 0.6010)  3 P 2.26
P (0.6010, 0.6010, 0.1970)  3 P 2.26
P (0.6010, 0.6010, 0.6010)  3 P 2.26